1.
First-principles (PBE) data for a relaxed Gd2C2BrCl crystal, as listed in OQMD.

a b c (Å): 7.0416 3.8027 10.2227
angles (deg): 90.00 95.63 90.00
Space group Cm (No. 8)
Asymmetric unit:
Gd 0.0000 0.0000 0.0000
Gd 0.2055 0.5000 0.7080
C 0.2801 0.0000 0.8907
C 0.4264 0.0000 0.8173
Br 0.1840 0.5000 0.1873
Cl 0.0292 0.0000 0.5406

***

2.
First-principles (PBE) data for a relaxed TbNd6Se8 crystal, as listed in OQMD.

a b c (Å): 11.8864 11.8864 11.8864
angles (deg): 90.00 90.00 90.00
Space group Fm-3m (No. 225)
Asymmetric unit:
Tb 0.0000 0.0000 0.0000
Nd 0.0000 0.2500 0.2500
Se 0.0000 0.0000 0.2468
Se 0.2500 0.2500 0.2500

***

3.
First-principles (PBE) data for a relaxed LaAlPdPt crystal, as listed in OQMD.

a b c (Å): 4.4116 4.4116 9.8973
angles (deg): 90.00 90.00 120.00
Space group P-3m1 (No. 164)
Asymmetric unit:
La 0.3333 0.6667 0.2539
Al 0.0000 0.0000 0.0000
Al 0.0000 0.0000 0.5000
Pd 0.3333 0.6667 0.9348
Pt 0.3333 0.6667 0.5715

Values from the calculation:
As for the energy above the lowest structure with this stoichiometry: 12 meV per atom.

***

Number 1: DFT total energy -6.38 eV per atom. Number 2: DFT total energy -5.95 eV per atom. Number 3: DFT total energy -5.99 eV per atom.